# 1
This record from Alexandria via LeMat-Bulk describes a relaxed Si2SnP crystal. The functional is PBE.

Lattice parameters (Å, degrees): 5.6146 5.6146 7.0960 66.70 66.70 90.00
Closest atoms and distances in Å follow each position.
Positions (direct):
Si 0.8750 0.8320 0.7500  2 P 2.34, 2 Sn 2.61
Si 0.5820 0.1250 0.2500  2 P 2.34, 2 Sn 2.61
P 0.2500 0.7500 0.5000  4 Si 2.34
Sn 0.7500 0.2500 0.5000  4 Si 2.61
P 0.5000 0.5000 0.0000  4 Si 2.34
Sn 0.0000 0.0000 0.0000  4 Si 2.61
Si 0.1680 0.6250 0.2500  2 P 2.34, 2 Sn 2.61
Si 0.3750 0.4180 0.7500  2 P 2.34, 2 Sn 2.61

Output
The calculation puts the uncorrected formation energy at 0.97 eV per formula unit. The symmetry is No. 122.



# 2
This record from Alexandria via LeMat-Bulk describes a relaxed Hf4Co3 crystal. The functional is PBE.

Lattice parameters (Å, degrees): 4.0472 5.3158 6.4028 107.43 108.42 90.00
Closest atoms and distances in Å follow each position.
Positions (direct):
Hf 0.4118 0.7069 0.8235  5 Co 2.57-2.59
Hf 0.5882 0.2931 0.1765  5 Co 2.57-2.59
Hf 0.1608 0.8007 0.3216  4 Co 2.50-2.64
Co 0.7761 0.6882 0.5523  6 Hf 2.57-2.64, 3 Co 2.70-2.77
Co 0.0000 0.0000 0.0000  6 Hf 2.50-2.57, 2 Co 2.70
Co 0.2239 0.3118 0.4477  6 Hf 2.57-2.64, 3 Co 2.70-2.77
Hf 0.8392 0.1993 0.6784  4 Co 2.50-2.64

Output
The symmetry is No. 12.



# 3
This record from Alexandria via LeMat-Bulk describes a relaxed Rb2Pa2FeS6 crystal. The functional is PBE.

Lattice parameters (Å, degrees): 6.7064 6.7064 8.2499 97.59 97.59 120.00
Closest atoms and distances in Å follow each position.
Positions (direct):
Pa 0.3354 0.6646 0.5000  6 S 2.69-2.71
S 0.2592 0.2592 0.3157  1 Fe 2.59, 2 Pa 2.70
S 0.0595 0.3885 0.6852  1 Fe 2.65, 2 Pa 2.69-2.71
Rb 0.1652 0.8348 0.0000  6 S 3.33-3.40
S 0.7408 0.7408 0.6843  1 Fe 2.59, 2 Pa 2.70
Rb 0.8348 0.1652 0.0000  6 S 3.33-3.40
Fe 0.0000 0.0000 0.5000  6 S 2.59-2.65
S 0.9405 0.6115 0.3148  1 Fe 2.65, 2 Pa 2.69-2.71
Pa 0.6646 0.3354 0.5000  6 S 2.69-2.71
S 0.3885 0.0595 0.6852  1 Fe 2.65, 2 Pa 2.69-2.71
S 0.6115 0.9405 0.3148  1 Fe 2.65, 2 Pa 2.69-2.71

Output
The calculation puts the uncorrected formation energy at -14.14 eV per formula unit. The symmetry is No. 12.



# 4
This record from Alexandria via LeMat-Bulk describes a relaxed Ce2Sm3Er6Tm crystal. The functional is PBE.

Lattice parameters (Å, degrees): 6.1261 6.1261 11.6679 95.01 95.01 119.98
Closest atoms and distances in Å follow each position.
Positions (direct):
Ce 0.6664 0.3336 0.0000  6 Er 3.49, 3 Ce 3.53-3.54, 3 Tm 3.54
Er 0.7474 0.7474 0.2467  2 Ce 3.49, 1 Tm 3.50, 6 Er 3.53-3.56, 3 Sm 3.55
Tm 0.0000 0.0000 0.0000  6 Er 3.50, 6 Ce 3.54
Er 0.2526 0.2526 0.7533  2 Ce 3.49, 1 Tm 3.50, 6 Er 3.53-3.56, 3 Sm 3.55
Sm 0.5000 0.5000 0.5000  6 Sm 3.53-3.54, 6 Er 3.55-3.56
Sm 0.1660 0.8340 0.5000  6 Sm 3.52-3.54, 6 Er 3.55-3.56
Er 0.5825 0.9175 0.7535  2 Ce 3.49, 1 Tm 3.50, 6 Er 3.53-3.56, 3 Sm 3.55-3.56
Ce 0.3336 0.6664 0.0000  6 Er 3.49, 3 Ce 3.53-3.54, 3 Tm 3.54
Sm 0.8340 0.1660 0.5000  6 Sm 3.52-3.54, 6 Er 3.55-3.56
Er 0.0825 0.4175 0.2465  2 Ce 3.49, 1 Tm 3.50, 6 Er 3.53-3.56, 3 Sm 3.55-3.56
Er 0.9175 0.5825 0.7535  2 Ce 3.49, 1 Tm 3.50, 6 Er 3.53-3.56, 3 Sm 3.55-3.56
Er 0.4175 0.0825 0.2465  2 Ce 3.49, 1 Tm 3.50, 6 Er 3.53-3.56, 3 Sm 3.55-3.56

Output
The symmetry is No. 12.



# 5
This record from Alexandria via LeMat-Bulk describes a relaxed Ti2Al6Pd crystal. The functional is PBE.

Lattice parameters (Å, degrees): 2.9863 7.2471 7.7858 117.74 89.75 90.00
Closest atoms and distances in Å follow each position.
Positions (direct):
Al 0.0013 0.3454 0.3208  1 Pd 2.59, 4 Al 2.64-2.83, 4 Ti 2.76-2.86
Al 0.5000 0.3107 0.0000  2 Pd 2.70, 7 Al 2.74-2.99, 2 Ti 2.98
Ti 0.4994 0.3084 0.6168  10 Al 2.76-2.98, 2 Ti 2.99
Ti 0.5006 0.6916 0.3832  10 Al 2.76-2.98, 2 Ti 2.99
Pd 0.0000 0.0000 0.0000  8 Al 2.59-2.70
Al 0.5000 0.6893 0.0000  2 Pd 2.70, 7 Al 2.74-2.99, 2 Ti 2.98
Al 0.0013 0.9755 0.3208  1 Pd 2.59, 4 Al 2.64-2.83, 4 Ti 2.76-2.86
Al 0.9987 0.0245 0.6792  1 Pd 2.59, 4 Al 2.64-2.83, 4 Ti 2.76-2.86
Al 0.9987 0.6546 0.6792  1 Pd 2.59, 4 Al 2.64-2.83, 4 Ti 2.76-2.86

Output
The symmetry is No. 12.



# 6
This record from Alexandria via LeMat-Bulk describes a relaxed TcGe6Mo3 crystal. The functional is PBE.

Lattice parameters (Å, degrees): 5.9999 7.1030 8.0024 90.00 95.74 90.00
Closest atoms and distances in Å follow each position.
Positions (direct):
Ge 0.7344 0.4156 0.2716  1 Tc 2.49, 3 Mo 2.54-2.60, 1 Ge 2.77
Ge 0.1397 0.3269 0.0808  1 Tc 2.53, 4 Mo 2.60-2.67
Mo 0.5535 0.8577 0.7336  7 Ge 2.54-2.82
Tc 0.0000 0.0000 0.0000  6 Ge 2.46-2.53
Ge 0.7656 0.9156 0.2284  1 Tc 2.49, 3 Mo 2.54-2.60, 1 Ge 2.77
Ge 0.2344 0.0844 0.7716  1 Tc 2.49, 3 Mo 2.54-2.60, 1 Ge 2.77
Mo 0.5000 0.5000 0.0000  6 Ge 2.54-2.62
Ge 0.6397 0.1731 0.5808  1 Tc 2.53, 4 Mo 2.60-2.67
Ge 0.1415 0.3308 0.4495  1 Tc 2.46, 1 Mo 2.54
Mo 0.9465 0.3577 0.7664  7 Ge 2.54-2.82
Mo 0.4465 0.1423 0.2664  7 Ge 2.54-2.82
Mo 0.0535 0.6423 0.2336  7 Ge 2.54-2.82
Ge 0.6415 0.1692 0.9495  1 Tc 2.46, 1 Mo 2.54
Ge 0.2656 0.5844 0.7284  1 Tc 2.49, 3 Mo 2.54-2.60, 1 Ge 2.77
Mo 0.0000 0.0000 0.5000  6 Ge 2.54-2.62
Ge 0.8603 0.6731 0.9192  1 Tc 2.53, 4 Mo 2.60-2.67
Ge 0.3603 0.8269 0.4192  1 Tc 2.53, 4 Mo 2.60-2.67
Ge 0.3585 0.8308 0.0505  1 Tc 2.46, 1 Mo 2.54
Ge 0.8585 0.6692 0.5505  1 Tc 2.46, 1 Mo 2.54
Tc 0.5000 0.5000 0.5000  6 Ge 2.46-2.53

Output
The symmetry is No. 14.



# 7
This record from Alexandria via LeMat-Bulk describes a relaxed GdErZnPd crystal. The functional is PBE.

Lattice parameters (Å, degrees): 5.0084 5.0084 5.0084 60.00 60.00 60.00
Closest atoms and distances in Å follow each position.
Positions (direct):
Pd 0.5000 0.5000 0.5000  4 Er 3.07, 4 Gd 3.07
Gd 0.2500 0.2500 0.2500  4 Zn 3.07, 4 Pd 3.07
Er 0.7500 0.7500 0.7500  4 Pd 3.07, 4 Zn 3.07
Zn 0.0000 0.0000 0.0000  4 Er 3.07, 4 Gd 3.07

Output
The symmetry is No. 216.



# 8
This record from Alexandria via LeMat-Bulk describes a relaxed SrTc3S crystal. The functional is PBE.

Lattice parameters (Å, degrees): 4.5320 4.5320 4.5320 90.00 90.00 90.00
Closest atoms and distances in Å follow each position.
Positions (direct):
Tc 0.0000 0.5000 0.0000  2 S 2.27
Sr 0.5000 0.5000 0.5000  12 Tc 3.20
S 0.0000 0.0000 0.0000  6 Tc 2.27
Tc 0.5000 0.0000 0.0000  2 S 2.27
Tc 0.0000 0.0000 0.5000  2 S 2.27

Output
The calculation puts the uncorrected formation energy at 2.05 eV per formula unit. The symmetry is No. 221.



| no. | Fermi-level density of states (states/eV per atom) | E (Ry/atom) |
| --- | --- | --- |
| 1 | 0.803 | -0.3545 |
| 2 | 0.867 | -0.6607 |
| 3 | 0.801 | -0.4563 |
| 4 | 1.649 | -0.3513 |
| 5 | 0.614 | -0.3781 |
| 6 | 0.698 | -0.5045 |
| 7 | 0.629 | -0.5052 |
| 8 | 0.731 | -0.5124 |